(1)
! NbVO4 (PBE+U, optimized geometry); values from VASP
&SYSTEM
  ibrav = 0, nat = 6, ntyp = 3
/
ATOMIC_SPECIES
Nb 92.91 Nb.upf
V 50.94 V.upf
O 16.00 O.upf
CELL_PARAMETERS angstrom
-2.058 -1.890 -1.399
2.905 -3.667 0.680
-2.105 -0.787 4.159
ATOMIC_POSITIONS crystal
Nb 0.000 0.500 0.500
V 0.500 0.000 0.000
O 0.000 0.800 0.800
O 0.000 0.200 0.200
O 0.500 0.305 0.695
O 0.500 0.695 0.305
! Raw total energy   -8.559 eV per atom
! Space-group type   Cmmm (65)
! M_tot   2.0 μB/f.u.
! Crystal system   orthorhombic



(2)
! NbVO (PBE+U, optimized geometry); values from VASP
&SYSTEM
  ibrav = 0, nat = 6, ntyp = 3
/
ATOMIC_SPECIES
Nb 92.91 Nb.upf
O 16.00 O.upf
V 50.94 V.upf
CELL_PARAMETERS angstrom
-0.001 -1.969 -2.147
-0.415 -0.849 2.755
-10.384 1.282 -1.170
ATOMIC_POSITIONS crystal
Nb 0.667 0.333 0.620
Nb 0.333 0.667 0.380
O 0.667 0.333 0.237
O 0.333 0.667 0.763
V 0.667 0.333 0.898
V 0.333 0.667 0.102
! Raw total energy   -8.163 eV per atom
! Space-group type   P-3m1 (164)
! M_tot   1.4 μB/f.u.
! Crystal system   trigonal



(3)
! Nb4VO12 (PBE+U, optimized geometry); values from VASP
&SYSTEM
  ibrav = 0, nat = 17, ntyp = 3
/
ATOMIC_SPECIES
Nb 92.91 Nb.upf
V 50.94 V.upf
O 16.00 O.upf
CELL_PARAMETERS angstrom
-2.276 -4.652 0.239
1.146 -0.871 -5.478
6.887 -3.381 1.276
ATOMIC_POSITIONS crystal
Nb 0.976 0.995 0.020
Nb 0.510 0.524 0.490
Nb 0.013 0.992 0.501
Nb 0.481 0.507 0.017
V 0.015 0.398 0.719
O 0.740 0.262 0.576
O 0.893 0.032 0.274
O 0.685 0.838 0.964
O 0.834 0.703 0.594
O 0.194 0.733 0.057
O 0.604 0.523 0.259
O 0.326 0.529 0.759
O 0.806 0.363 0.925
O 0.207 0.332 0.485
O 0.294 0.238 0.065
O 0.092 0.069 0.768
O 0.331 0.843 0.468
! Raw total energy   -8.704 eV per atom
! Space-group type   P1 (1)
! M_tot   1.0 μB/f.u.
! Crystal system   triclinic



(4)
! NbV3O (PBE+U, optimized geometry); values from VASP
&SYSTEM
  ibrav = 0, nat = 5, ntyp = 3
/
ATOMIC_SPECIES
Nb 92.91 Nb.upf
O 16.00 O.upf
V 50.94 V.upf
CELL_PARAMETERS angstrom
-1.221 0.031 -4.003
-3.514 -2.013 1.056
-1.917 3.669 0.613
ATOMIC_POSITIONS crystal
Nb 0.500 0.500 0.500
O 0.000 0.000 0.000
V 0.000 0.500 0.000
V 0.000 0.000 0.500
V 0.500 0.000 0.000
! Raw total energy   -7.314 eV per atom
! Space-group type   Pm-3m (221)
! M_tot   5.9 μB/f.u.
! Crystal system   cubic



(5)
! NbVO4 (PBE+U, optimized geometry); values from VASP
&SYSTEM
  ibrav = 0, nat = 12, ntyp = 3
/
ATOMIC_SPECIES
Nb 92.91 Nb.upf
V 50.94 V.upf
O 16.00 O.upf
CELL_PARAMETERS angstrom
5.256 3.356 0.008
-5.256 3.356 0.008
0.000 3.356 3.652
ATOMIC_POSITIONS crystal
Nb 0.868 0.132 0.250
Nb 0.132 0.868 0.750
V 0.403 0.597 0.250
V 0.597 0.403 0.750
O 0.205 0.277 0.770
O 0.277 0.205 0.270
O 0.914 0.494 0.815
O 0.494 0.914 0.315
O 0.506 0.086 0.685
O 0.086 0.506 0.185
O 0.723 0.795 0.730
O 0.795 0.723 0.230
! Raw total energy   -8.509 eV per atom
! Space-group type   C2/c (15)
! M_tot   2.0 μB/f.u.
! Crystal system   monoclinic



(6)
! NbV3O8 (PBE+U, optimized geometry); values from VASP
&SYSTEM
  ibrav = 0, nat = 12, ntyp = 3
/
ATOMIC_SPECIES
Nb 92.91 Nb.upf
V 50.94 V.upf
O 16.00 O.upf
CELL_PARAMETERS angstrom
6.522 0.004 0.017
5.401 3.655 0.017
1.788 0.549 6.441
ATOMIC_POSITIONS crystal
Nb 0.306 0.306 0.270
V 0.601 0.601 0.315
V 0.398 0.398 0.686
V 0.692 0.692 0.737
O 0.863 0.863 0.702
O 0.768 0.768 0.344
O 0.636 0.636 0.996
O 0.557 0.557 0.629
O 0.436 0.436 0.379
O 0.370 0.370 0.992
O 0.235 0.235 0.659
O 0.140 0.140 0.290
! Raw total energy   -8.165 eV per atom
! Space-group type   Cm (8)
! M_tot   4.0 μB/f.u.
! Crystal system   monoclinic



(7)
! Nb3VO8 (PBE+U, optimized geometry); values from VASP
&SYSTEM
  ibrav = 0, nat = 12, ntyp = 3
/
ATOMIC_SPECIES
Nb 92.91 Nb.upf
V 50.94 V.upf
O 16.00 O.upf
CELL_PARAMETERS angstrom
-0.767 1.318 -3.735
-6.693 -1.133 0.975
1.518 5.274 3.728
ATOMIC_POSITIONS crystal
Nb 0.394 0.274 0.788
Nb 0.705 0.298 0.409
Nb 0.603 0.712 0.206
V 0.297 0.694 0.594
O 0.448 0.629 0.897
O 0.359 0.000 0.719
O 0.875 0.316 0.750
O 0.235 0.344 0.470
O 0.752 0.630 0.504
O 0.129 0.708 0.258
O 0.558 0.354 0.116
O 0.643 0.010 0.286
! Raw total energy   -8.832 eV per atom
! Space-group type   Cm (8)
! M_tot   3.1 μB/f.u.
! Crystal system   monoclinic



(8)
! NbV3O10 (PBE+U, optimized geometry); values from VASP
&SYSTEM
  ibrav = 0, nat = 14, ntyp = 3
/
ATOMIC_SPECIES
Nb 92.91 Nb.upf
V 50.94 V.upf
O 16.00 O.upf
CELL_PARAMETERS angstrom
6.711 0.000 0.000
0.000 6.711 0.000
0.000 0.000 4.541
ATOMIC_POSITIONS crystal
Nb 0.500 0.500 0.500
V 0.500 0.000 0.636
V 0.000 0.500 0.364
V 0.000 0.000 0.500
O 0.000 0.783 0.287
O 0.500 0.000 0.279
O 0.783 0.000 0.713
O 0.217 0.000 0.713
O 0.000 0.217 0.287
O 0.500 0.272 0.738
O 0.272 0.500 0.262
O 0.728 0.500 0.262
O 0.000 0.500 0.721
O 0.500 0.728 0.738
! Raw total energy   -7.781 eV per atom
! Space-group type   P-4m2 (115)
! M_tot   0.0 μB/f.u.
! Crystal system   tetragonal



(9)
! NbVO4 (PBE+U, optimized geometry); values from VASP
&SYSTEM
  ibrav = 0, nat = 6, ntyp = 3
/
ATOMIC_SPECIES
Nb 92.91 Nb.upf
V 50.94 V.upf
O 16.00 O.upf
CELL_PARAMETERS angstrom
-1.125 -1.366 -5.362
0.464 -5.388 -1.803
-2.358 2.974 4.253
ATOMIC_POSITIONS crystal
Nb 0.976 0.001 0.974
V 0.763 0.249 0.514
O 0.537 0.036 0.500
O 0.211 0.204 0.007
O 0.975 0.464 0.511
O 0.789 0.796 0.993
! Raw total energy   -8.555 eV per atom
! Space-group type   Cm (8)
! M_tot   2.0 μB/f.u.
! Crystal system   monoclinic



(10)
! NbV2O7 (PBE+U, optimized geometry); values from VASP
&SYSTEM
  ibrav = 0, nat = 40, ntyp = 3
/
ATOMIC_SPECIES
Nb 92.91 Nb.upf
V 50.94 V.upf
O 16.00 O.upf
CELL_PARAMETERS angstrom
-4.610 7.438 1.673
-4.678 -4.303 6.244
6.020 2.352 6.131
ATOMIC_POSITIONS crystal
Nb 0.000 0.000 0.000
Nb 0.000 0.500 0.500
Nb 0.500 0.000 0.500
Nb 0.500 0.500 0.000
V 0.116 0.884 0.384
V 0.116 0.616 0.884
V 0.384 0.384 0.384
V 0.384 0.116 0.884
V 0.616 0.616 0.616
V 0.616 0.884 0.116
V 0.884 0.116 0.616
V 0.884 0.384 0.116
O 0.000 0.000 0.500
O 0.000 0.500 0.000
O 0.063 0.697 0.410
O 0.063 0.803 0.910
O 0.090 0.563 0.697
O 0.090 0.937 0.197
O 0.197 0.090 0.937
O 0.197 0.410 0.437
O 0.303 0.590 0.937
O 0.303 0.910 0.437
O 0.410 0.063 0.697
O 0.410 0.437 0.197
O 0.437 0.303 0.910
O 0.437 0.197 0.410
O 0.500 0.500 0.500
O 0.500 0.000 0.000
O 0.563 0.697 0.090
O 0.563 0.803 0.590
O 0.590 0.563 0.803
O 0.590 0.937 0.303
O 0.697 0.090 0.563
O 0.697 0.410 0.063
O 0.803 0.590 0.563
O 0.803 0.910 0.063
O 0.910 0.063 0.803
O 0.910 0.437 0.303
O 0.937 0.197 0.090
O 0.937 0.303 0.590
! Raw total energy   -8.067 eV per atom
! Space-group type   Pa-3 (205)
! M_tot   1.0 μB/f.u.
! Crystal system   cubic



(11)
! Nb2VO (PBE+U, optimized geometry); values from VASP
&SYSTEM
  ibrav = 0, nat = 4, ntyp = 3
/
ATOMIC_SPECIES
Nb 92.91 Nb.upf
O 16.00 O.upf
V 50.94 V.upf
CELL_PARAMETERS angstrom
2.833 0.000 0.000
1.417 2.453 0.000
1.417 0.818 8.481
ATOMIC_POSITIONS crystal
Nb 0.104 0.104 0.689
Nb 0.896 0.896 0.311
O 0.500 0.500 0.500
V 0.000 0.000 0.000
! Raw total energy   -8.235 eV per atom
! Space-group type   R-3m (166)
! M_tot   0.3 μB/f.u.
! Crystal system   trigonal



(12)
! NbVO5 (PBE+U, optimized geometry); values from VASP
&SYSTEM
  ibrav = 0, nat = 28, ntyp = 3
/
ATOMIC_SPECIES
Nb 92.91 Nb.upf
V 50.94 V.upf
O 16.00 O.upf
CELL_PARAMETERS angstrom
5.643 0.000 0.000
0.000 7.097 0.000
0.000 0.000 12.106
ATOMIC_POSITIONS crystal
Nb 0.750 0.844 0.059
Nb 0.250 0.344 0.441
Nb 0.750 0.656 0.559
Nb 0.250 0.156 0.941
V 0.250 0.529 0.154
V 0.750 0.029 0.346
V 0.250 0.971 0.654
V 0.750 0.471 0.846
O 0.000 0.000 0.000
O 0.500 0.000 0.000
O 0.250 0.323 0.076
O 0.001 0.658 0.124
O 0.499 0.658 0.124
O 0.750 0.971 0.204
O 0.250 0.471 0.296
O 0.999 0.158 0.376
O 0.501 0.158 0.376
O 0.750 0.823 0.424
O 0.000 0.500 0.500
O 0.500 0.500 0.500
O 0.250 0.177 0.576
O 0.001 0.842 0.624
O 0.499 0.842 0.624
O 0.750 0.529 0.704
O 0.250 0.029 0.796
O 0.501 0.342 0.876
O 0.999 0.342 0.876
O 0.750 0.677 0.924
! Raw total energy   -8.266 eV per atom
! Space-group type   Pnma (62)
! M_tot   0.0 μB/f.u.
! Crystal system   orthorhombic



(13)
! NbVO4 (PBE+U, optimized geometry); values from VASP
&SYSTEM
  ibrav = 0, nat = 12, ntyp = 3
/
ATOMIC_SPECIES
Nb 92.91 Nb.upf
V 50.94 V.upf
O 16.00 O.upf
CELL_PARAMETERS angstrom
3.965 0.001 0.000
-0.024 3.965 0.000
0.000 0.000 9.834
ATOMIC_POSITIONS crystal
Nb 0.221 0.779 0.250
Nb 0.779 0.221 0.750
V 0.737 0.737 0.500
V 0.263 0.263 0.000
O 0.247 0.261 0.215
O 0.753 0.739 0.715
O 0.261 0.247 0.785
O 0.739 0.753 0.285
O 0.755 0.245 0.545
O 0.245 0.755 0.045
O 0.245 0.755 0.455
O 0.755 0.245 0.955
! Raw total energy   -8.555 eV per atom
! Space-group type   C222_1 (20)
! M_tot   2.0 μB/f.u.
! Crystal system   orthorhombic



(14)
! NbV3O8 (PBE+U, optimized geometry); values from VASP
&SYSTEM
  ibrav = 0, nat = 24, ntyp = 3
/
ATOMIC_SPECIES
Nb 92.91 Nb.upf
V 50.94 V.upf
O 16.00 O.upf
CELL_PARAMETERS angstrom
5.927 -0.025 0.033
-0.075 9.381 0.002
3.074 -0.030 5.275
ATOMIC_POSITIONS crystal
Nb 0.290 0.498 0.359
Nb 0.713 0.997 0.628
V 0.788 0.717 0.865
V 0.212 0.217 0.134
V 0.803 0.705 0.356
V 0.682 0.210 0.152
V 0.319 0.721 0.841
V 0.205 0.213 0.643
O 0.642 0.600 0.178
O 0.856 0.100 0.806
O 0.481 0.340 0.039
O 0.516 0.838 0.968
O 0.347 0.106 0.318
O 0.624 0.606 0.708
O 0.028 0.302 0.980
O 0.992 0.804 0.010
O 0.149 0.598 0.186
O 0.366 0.103 0.811
O 0.478 0.338 0.475
O 0.947 0.831 0.537
O 0.049 0.332 0.470
O 0.506 0.840 0.546
O 0.861 0.098 0.318
O 0.145 0.603 0.672
! Raw total energy   -8.101 eV per atom
! Space-group type   P1 (1)
! M_tot   4.0 μB/f.u.
! Crystal system   triclinic



(15)
! Nb2VO (PBE+U, optimized geometry); values from VASP
&SYSTEM
  ibrav = 0, nat = 8, ntyp = 3
/
ATOMIC_SPECIES
Nb 92.91 Nb.upf
O 16.00 O.upf
V 50.94 V.upf
CELL_PARAMETERS angstrom
7.472 0.000 0.000
0.000 7.472 0.000
3.736 3.736 2.196
ATOMIC_POSITIONS crystal
Nb 0.503 0.125 0.250
Nb 0.247 0.625 0.250
Nb 0.375 0.497 0.750
Nb 0.875 0.753 0.750
O 0.500 0.500 0.000
O 0.250 0.750 0.500
V 0.000 0.000 0.000
V 0.750 0.250 0.500
! Raw total energy   -8.399 eV per atom
! Space-group type   I-42d (122)
! M_tot   1.3 μB/f.u.
! Crystal system   tetragonal



(16)
! Nb2VO8 (PBE+U, optimized geometry); values from VASP
&SYSTEM
  ibrav = 0, nat = 11, ntyp = 3
/
ATOMIC_SPECIES
Nb 92.91 Nb.upf
V 50.94 V.upf
O 16.00 O.upf
CELL_PARAMETERS angstrom
4.178 0.000 0.000
0.000 6.067 0.000
0.000 -3.034 5.255
ATOMIC_POSITIONS crystal
Nb 0.798 0.667 0.333
Nb 0.202 0.333 0.667
V 0.500 0.000 0.000
O 0.757 0.333 0.667
O 0.243 0.667 0.333
O 0.261 0.152 0.305
O 0.739 0.848 0.695
O 0.739 0.305 0.152
O 0.261 0.695 0.848
O 0.261 0.152 0.848
O 0.739 0.848 0.152
! Raw total energy   -8.007 eV per atom
! Space-group type   P-3m1 (164)
! M_tot   1.1 μB/f.u.
! Crystal system   trigonal



(17)
! Nb2VZn2O8 (PBE+U, optimized geometry); values from VASP
&SYSTEM
  ibrav = 0, nat = 26, ntyp = 4
/
ATOMIC_SPECIES
Nb 92.91 Nb.upf
V 50.94 V.upf
Zn 65.41 Zn.upf
O 16.00 O.upf
CELL_PARAMETERS angstrom
10.192 -0.012 0.007
8.446 5.704 0.007
0.033 0.010 5.317
ATOMIC_POSITIONS crystal
Nb 0.725 0.044 0.766
Nb 0.956 0.275 0.734
Nb 0.275 0.956 0.234
Nb 0.044 0.725 0.266
V 0.353 0.647 0.750
V 0.647 0.353 0.250
Zn 0.566 0.873 0.733
Zn 0.127 0.434 0.767
Zn 0.434 0.127 0.267
Zn 0.873 0.566 0.233
O 0.814 0.045 0.428
O 0.955 0.186 0.072
O 0.186 0.955 0.572
O 0.045 0.814 0.928
O 0.566 0.317 0.907
O 0.683 0.434 0.593
O 0.434 0.683 0.093
O 0.317 0.566 0.407
O 0.717 0.925 0.064
O 0.075 0.283 0.436
O 0.160 0.453 0.136
O 0.547 0.840 0.364
O 0.840 0.547 0.864
O 0.453 0.160 0.636
O 0.925 0.717 0.564
O 0.283 0.075 0.936
! Raw total energy   -7.460 eV per atom
! Space-group type   C2/c (15)
! M_tot   3.0 μB/f.u.
! Crystal system   monoclinic



(18)
! NbV2ZnO (PBE+U, optimized geometry); values from VASP
&SYSTEM
  ibrav = 0, nat = 5, ntyp = 4
/
ATOMIC_SPECIES
Nb 92.91 Nb.upf
Zn 65.41 Zn.upf
O 16.00 O.upf
V 50.94 V.upf
CELL_PARAMETERS angstrom
-3.699 2.665 -2.713
-2.744 -2.304 1.478
-0.596 3.332 4.085
ATOMIC_POSITIONS crystal
Nb 0.000 0.000 0.000
Zn 0.500 0.500 0.500
O 0.000 0.500 0.000
V 0.000 0.000 0.500
V 0.500 0.000 0.000
! Raw total energy   -5.462 eV per atom
! Space-group type   P4/mmm (123)
! M_tot   6.4 μB/f.u.
! Crystal system   tetragonal



(19)
! ZrNbVO2 (PBE+U, optimized geometry); values from VASP
&SYSTEM
  ibrav = 0, nat = 5, ntyp = 4
/
ATOMIC_SPECIES
Nb 92.91 Nb.upf
O 16.00 O.upf
Zr 91.22 Zr.upf
V 50.94 V.upf
CELL_PARAMETERS angstrom
-2.653 2.779 -1.029
-3.061 -1.327 4.305
1.946 2.675 2.209
ATOMIC_POSITIONS crystal
Nb 0.000 0.000 0.000
O 0.000 0.000 0.500
O 0.500 0.000 0.000
Zr 0.500 0.500 0.500
V 0.000 0.500 0.000
! Raw total energy   -7.603 eV per atom
! Space-group type   P4/mmm (123)
! M_tot   2.5 μB/f.u.
! Crystal system   tetragonal



(20)
! ZrNbVO2 (PBE+U, optimized geometry); values from VASP
&SYSTEM
  ibrav = 0, nat = 5, ntyp = 4
/
ATOMIC_SPECIES
Nb 92.91 Nb.upf
O 16.00 O.upf
Zr 91.22 Zr.upf
V 50.94 V.upf
CELL_PARAMETERS angstrom
-1.769 -3.310 -0.825
2.319 -0.076 -4.668
2.952 -1.951 1.499
ATOMIC_POSITIONS crystal
Nb 0.000 0.500 0.000
O 0.000 0.000 0.500
O 0.500 0.000 0.000
Zr 0.500 0.500 0.500
V 0.000 0.000 0.000
! Raw total energy   -7.416 eV per atom
! Space-group type   P4/mmm (123)
! M_tot   0.0 μB/f.u.
! Crystal system   tetragonal